1.
The following is a PBE calculation of an optimized crystal structure of La5NdCoHg2, from the Alexandria database.

Output
The volume is 32.1 A^3/atom. Its density of states at the Fermi level is 1.35 states/eV/atom. The value obtained for the total energy is -77.755 eV/cell.

Unit cell a=9.537 b=9.537 c=15.973 alpha=90.00 beta=90.00 gamma=156.55
Fractional positions:
La 0.061 0.939 0.500
La 0.108 0.892 0.207
La 0.285 0.715 0.883
La 0.287 0.713 0.121
La 0.368 0.632 0.497
La 0.632 0.368 0.997
La 0.713 0.287 0.621
La 0.715 0.285 0.383
La 0.892 0.108 0.707
La 0.939 0.061 0.000
Nd 0.103 0.897 0.791
Nd 0.897 0.103 0.291
Co 0.212 0.788 0.502
Co 0.788 0.212 0.002
Hg 0.473 0.527 0.845
Hg 0.475 0.525 0.155
Hg 0.525 0.475 0.655
Hg 0.527 0.473 0.345

---

2.
The following is a PBE calculation of an optimized crystal structure of LaNdCoHg, from the Alexandria database.

Output
The volume is 25.6 A^3/atom. Its density of states at the Fermi level is 0.96 states/eV/atom. The value obtained for the total energy is -70.450 eV/cell.

Unit cell a=7.430 b=7.430 c=7.430 alpha=90.00 beta=90.00 gamma=90.00
Fractional positions:
La 0.000 0.000 0.000
La 0.000 0.500 0.500
La 0.500 0.000 0.500
La 0.500 0.500 0.000
Nd 0.000 0.000 0.500
Nd 0.000 0.500 0.000
Nd 0.500 0.000 0.000
Nd 0.500 0.500 0.500
Co 0.250 0.250 0.750
Co 0.250 0.750 0.250
Co 0.750 0.250 0.250
Co 0.750 0.750 0.750
Hg 0.250 0.250 0.250
Hg 0.250 0.750 0.750
Hg 0.750 0.250 0.750
Hg 0.750 0.750 0.250

---

3.
The following is a PBE calculation of an optimized crystal structure of La2Nd2CoHg2, from the Alexandria database.

Output
The volume is 29.9 A^3/atom. Its density of states at the Fermi level is 0.91 states/eV/atom. The value obtained for the total energy is -57.915 eV/cell.

Unit cell a=14.830 b=4.729 c=6.680 alpha=90.00 beta=116.67 gamma=90.00
Fractional positions:
La 0.195 0.000 0.194
La 0.305 0.500 0.806
La 0.695 0.500 0.194
La 0.805 0.000 0.806
Nd 0.000 0.500 0.256
Nd 0.000 0.500 0.744
Nd 0.500 0.000 0.256
Nd 0.500 0.000 0.744
Co 0.000 0.000 0.000
Co 0.500 0.500 0.000
Hg 0.127 0.000 0.627
Hg 0.373 0.500 0.373
Hg 0.627 0.500 0.627
Hg 0.873 0.000 0.373

---

4.
The following is a PBE calculation of an optimized crystal structure of La2NdCoHg, from the Alexandria database.

Output
The volume is 29.9 A^3/atom. Its density of states at the Fermi level is 1.14 states/eV/atom. The value obtained for the total energy is -22.945 eV/cell.

Unit cell a=5.214 b=5.214 c=5.499 alpha=90.00 beta=90.00 gamma=90.00
Fractional positions:
La 0.000 0.500 0.000
La 0.500 0.000 0.000
Nd 0.000 0.000 0.500
Co 0.000 0.000 0.000
Hg 0.500 0.500 0.500

---

5.
The following is a PBE calculation of an optimized crystal structure of LaCoNiHg2, from the Alexandria database.

Output
The volume is 24.3 A^3/atom. Its density of states at the Fermi level is 1.09 states/eV/atom. The value obtained for the total energy is -16.764 eV/cell.

Unit cell a=4.987 b=4.987 c=4.896 alpha=90.00 beta=90.00 gamma=90.00
Fractional positions:
La 0.000 0.000 0.000
Co 0.000 0.000 0.500
Ni 0.500 0.500 0.000
Hg 0.000 0.500 0.500
Hg 0.500 0.000 0.500

---

6.
The following is a PBE calculation of an optimized crystal structure of La6CoNiHg2, from the Alexandria database.

Output
The volume is 30.9 A^3/atom. Its density of states at the Fermi level is 1.21 states/eV/atom. The value obtained for the total energy is -45.706 eV/cell.

Unit cell a=7.517 b=7.557 c=7.586 alpha=119.41 beta=119.35 gamma=90.43
Fractional positions:
La 0.187 0.183 0.002
La 0.279 0.785 0.510
La 0.294 0.664 0.951
La 0.706 0.336 0.049
La 0.721 0.215 0.490
La 0.813 0.817 0.998
Co 0.500 0.000 0.000
Ni 0.000 0.500 0.000
Hg 0.261 0.237 0.500
Hg 0.739 0.763 0.500

---

7.
The following is a PBE calculation of an optimized crystal structure of LaCoHg2P, from the Alexandria database.

Output
The volume is 41.3 A^3/atom. Its density of states at the Fermi level is 1.30 states/eV/atom. The value obtained for the total energy is -13.026 eV/cell.

Unit cell a=6.274 b=6.274 c=5.250 alpha=90.00 beta=90.00 gamma=90.00
Fractional positions:
La 0.000 0.000 0.000
Co 0.500 0.500 0.500
Hg 0.000 0.500 0.000
Hg 0.500 0.000 0.000
P 0.000 0.000 0.500

---

8.
The following is a PBE calculation of an optimized crystal structure of La2CoHgPb, from the Alexandria database.

Output
The volume is 27.6 A^3/atom. For the relative energy among the computed polymorphs, the calculation gives 0.0 meV per atom. Its density of states at the Fermi level is 0.64 states/eV/atom.

Unit cell a=5.214 b=5.214 c=5.071 alpha=90.00 beta=90.00 gamma=90.00
Fractional positions:
La 0.000 0.500 0.000
La 0.500 0.000 0.000
Co 0.000 0.000 0.000
Hg 0.000 0.000 0.500
Pb 0.500 0.500 0.500

---

9.
The following is a PBE calculation of an optimized crystal structure of La2CoHgPb, from the Alexandria database.

Output
The volume is 28.2 A^3/atom. For the relative energy among the computed polymorphs, the calculation gives 33.2 meV per atom. Its density of states at the Fermi level is 1.05 states/eV/atom.

Unit cell a=5.323 b=5.323 c=4.980 alpha=90.00 beta=90.00 gamma=90.00
Fractional positions:
La 0.000 0.500 0.000
La 0.500 0.000 0.000
Co 0.000 0.000 0.000
Hg 0.500 0.500 0.500
Pb 0.000 0.000 0.500

---

10.
The following is a PBE calculation of an optimized crystal structure of La3Pm3CoHg2, from the Alexandria database.

Output
The volume is 28.8 A^3/atom. Its density of states at the Fermi level is 1.36 states/eV/atom. The value obtained for the total energy is -39.151 eV/cell.

Unit cell a=8.826 b=8.826 c=3.841 alpha=90.00 beta=90.00 gamma=120.00
Fractional positions:
La 0.000 0.232 0.000
La 0.232 0.000 0.000
La 0.768 0.768 0.000
Pm 0.000 0.591 0.500
Pm 0.409 0.409 0.500
Pm 0.591 0.000 0.500
Co 0.000 0.000 0.500
Hg 0.333 0.667 0.000
Hg 0.667 0.333 0.000

---

11.
The following is a PBE calculation of an optimized crystal structure of LaPmCoHg, from the Alexandria database.

Output
The volume is 25.4 A^3/atom. Its density of states at the Fermi level is 0.96 states/eV/atom. The value obtained for the total energy is -70.511 eV/cell.

Unit cell a=7.403 b=7.403 c=7.403 alpha=90.00 beta=90.00 gamma=90.00
Fractional positions:
La 0.000 0.000 0.000
La 0.000 0.500 0.500
La 0.500 0.000 0.500
La 0.500 0.500 0.000
Pm 0.000 0.000 0.500
Pm 0.000 0.500 0.000
Pm 0.500 0.000 0.000
Pm 0.500 0.500 0.500
Co 0.250 0.250 0.750
Co 0.250 0.750 0.250
Co 0.750 0.250 0.250
Co 0.750 0.750 0.750
Hg 0.250 0.250 0.250
Hg 0.250 0.750 0.750
Hg 0.750 0.250 0.750
Hg 0.750 0.750 0.250

---

12.
The following is a PBE calculation of an optimized crystal structure of La5PmCoHg2, from the Alexandria database.

Output
The volume is 31.0 A^3/atom. Its density of states at the Fermi level is 1.05 states/eV/atom. The value obtained for the total energy is -77.797 eV/cell.

Unit cell a=9.738 b=9.738 c=15.173 alpha=90.00 beta=90.00 gamma=157.19
Fractional positions:
La 0.072 0.928 0.500
La 0.081 0.919 0.787
La 0.262 0.738 0.380
La 0.302 0.698 0.139
La 0.389 0.611 0.809
La 0.611 0.389 0.309
La 0.698 0.302 0.639
La 0.738 0.262 0.880
La 0.919 0.081 0.287
La 0.928 0.072 0.000
Pm 0.134 0.866 0.106
Pm 0.866 0.134 0.606
Co 0.277 0.723 0.729
Co 0.723 0.277 0.229
Hg 0.434 0.566 0.455
Hg 0.496 0.504 0.146
Hg 0.504 0.496 0.646
Hg 0.566 0.434 0.955